No. 1
## MgH2Rh (PBE-GGA)

Data for an optimized crystal structure of MgH2Rh.

Calculated values
**Space group**: Fm-3m
**E**: -14.78 eV for the cell shown

Cell: 3.747 3.747 3.747 Å, 60.00 60.00 60.00°
Sites, in units of the cell vectors:
1 H 0.250 0.250 0.250
2 H 0.750 0.750 0.750
3 Mg 0.000 0.000 0.000
4 Rh 0.500 0.500 0.500

No. 2
## Sr2LiCa2 (PBE-GGA)

Data for an optimized crystal structure of Sr2LiCa2.

Calculated values
**Space group**: I4/mmm
**DFT formation energy**: 18 meV/atom
**E**: -9.19 eV for the cell shown

Cell: 4.209 4.209 12.427 Å, 99.75 99.75 90.00°
Sites, in units of the cell vectors:
1 Sr 0.587 0.587 0.173
2 Sr 0.413 0.413 0.827
3 Li 0.000 0.000 0.000
4 Ca 0.800 0.800 0.600
5 Ca 0.200 0.200 0.400

No. 3
## CaLaOs4 (PBE-GGA)

Data for an optimized crystal structure of CaLaOs4.

Calculated values
**Space group**: F-43m
**DFT formation energy**: 66 meV/atom
**E**: -51.45 eV for the cell shown

Cell: 5.427 5.427 5.427 Å, 60.00 60.00 60.00°
Sites, in units of the cell vectors:
1 Ca 0.750 0.750 0.750
2 La 0.000 0.000 0.000
3 Os 0.874 0.375 0.375
4 Os 0.375 0.375 0.874
5 Os 0.375 0.874 0.375
6 Os 0.375 0.375 0.375

No. 4
## ZrScBi (PBE-GGA)

Data for an optimized crystal structure of ZrScBi.

Calculated values
**Space group**: R3m
**DFT formation energy**: 3 meV/atom
**E**: -37.50 eV for the cell shown

Cell: 5.017 5.018 8.133 Å, 72.04 72.04 60.01°
Sites, in units of the cell vectors:
1 Zr 0.593 0.279 0.534
2 Zr 0.324 0.010 0.343
3 Sc 0.462 0.148 0.929
4 Sc 0.718 0.404 0.159
5 Bi 0.000 0.686 0.314
6 Bi 0.186 0.872 0.756

No. 5
## Mn2TlOs2 (PBE-GGA)

Data for an optimized crystal structure of Mn2TlOs2.

Calculated values
**Space group**: P4/mbm
**DFT formation energy**: 546 meV/atom
**E**: -80.87 eV for the cell shown

Cell: 7.389 7.389 2.734 Å, 90.00 90.00 90.00°
Sites, in units of the cell vectors:
1 Tl 0.000 0.000 0.000
2 Tl 0.500 0.500 0.000
3 Mn 0.376 0.876 0.000
4 Mn 0.876 0.624 0.000
5 Mn 0.624 0.124 0.000
6 Mn 0.124 0.376 0.000
7 Os 0.156 0.656 0.500
8 Os 0.656 0.844 0.500
9 Os 0.844 0.344 0.500
10 Os 0.344 0.156 0.500

No. 6
## Ba2CaI (PBE-GGA)

Data for an optimized crystal structure of Ba2CaI.

Calculated values
**Space group**: P4/mmm
**E**: -9.66 eV for the cell shown
**Formation energy from raw total energies**: -0.565 eV/atom

Cell: 4.191 4.191 11.071 Å, 90.00 90.00 90.00°
Sites, in units of the cell vectors:
1 I 0.500 0.500 0.000
2 Ca 0.500 0.500 0.500
3 Ba 0.000 0.000 0.777
4 Ba 0.000 0.000 0.223

No. 7
## Ba4Cr (PBE-GGA)

Data for an optimized crystal structure of Ba4Cr.

Calculated values
**Space group**: I4/mmm
**DFT formation energy**: 831 meV/atom
**E**: -13.16 eV for the cell shown

Cell: 7.034 7.034 7.034 Å, 117.39 117.39 94.59°
Each line ends with the local moment (μB).
Sites, in units of the cell vectors:
1 Ba 0.250 0.750 0.500  -0.14
2 Ba 0.750 0.250 0.500  -0.14
3 Ba 0.673 0.673 0.000  -0.19
4 Ba 0.327 0.327 0.000  -0.19
5 Cr 0.000 0.000 0.000  3.98

No. 8
## LaAsW2 (PBE-GGA)

Data for an optimized crystal structure of LaAsW2.

Calculated values
**Space group**: P4/mmm
**DFT formation energy**: 620 meV/atom
**E**: -33.00 eV for the cell shown

Cell: 5.085 4.032 4.032 Å, 90.00 90.00 90.00°
Sites, in units of the cell vectors:
1 As 0.500 0.500 0.000
2 W 0.000 0.000 0.000
3 W 0.000 0.500 0.500
4 La 0.500 0.000 0.500

No. 9
## BC4 (PBE-GGA)

Data for an optimized crystal structure of BC4.

Calculated values
**Space group**: R3m
**DFT formation energy**: 281 meV/atom
**E**: -84.34 eV for the cell shown

Cell: 10.906 10.906 10.906 Å, 13.44 13.44 13.44°
Sites, in units of the cell vectors:
1 B 0.800 0.800 0.800
2 B 0.396 0.396 0.396
3 C 0.156 0.156 0.156
4 C 0.600 0.600 0.600
5 C 0.949 0.949 0.949
6 C 0.752 0.752 0.752
7 C 0.202 0.202 0.202
8 C 0.552 0.552 0.552
9 C 0.997 0.997 0.997
10 C 0.346 0.346 0.346

No. 10
## UCo2P2Rh (PBE-GGA)

Data for an optimized crystal structure of UCo2P2Rh.

Calculated values
**Space group**: P-3m1
**DFT formation energy**: -636 meV/atom
**E**: -47.49 eV for the cell shown

Cell: 3.821 3.821 6.644 Å, 90.00 90.00 120.00°
Each line ends with the local moment (μB).
Sites, in units of the cell vectors:
1 U 0.000 0.000 0.000  0.99
2 Co 0.667 0.333 0.266  0.02
3 Co 0.333 0.667 0.734  0.02
4 P 0.667 0.333 0.712  -0.01
5 P 0.333 0.667 0.288  -0.01
6 Rh 0.000 0.000 0.500  0.04

No. 11
## Sr2Sb2H4Ir (PBE-GGA)

Data for an optimized crystal structure of Sr2Sb2H4Ir.

Calculated values
**Space group**: I4/mmm
**E**: -36.30 eV for the cell shown

Cell: 6.145 6.145 6.145 Å, 96.34 116.41 116.41°
Sites, in units of the cell vectors:
1 Sr 0.500 0.750 0.250
2 Sr 0.500 0.250 0.750
3 Sb 0.000 0.672 0.672
4 Sb 0.000 0.328 0.328
5 H 0.000 0.815 0.185
6 H 0.629 0.815 0.815
7 H 0.000 0.185 0.815
8 H 0.371 0.185 0.185
9 Ir 0.000 0.000 0.000

No. 12
## Tl2CoSi (PBE-GGA)

Data for an optimized crystal structure of Tl2CoSi.

Calculated values
**Space group**: C2/m
**E**: -14.30 eV for the cell shown
**Formation energy from raw total energies**: 0.740 eV/atom

Cell: 4.848 4.848 5.330 Å, 71.45 71.45 44.26°
Each line ends with the local moment (μB).
Sites, in units of the cell vectors:
1 Co 0.750 0.750 0.750  1.31
2 Si 0.250 0.250 0.250  -0.01
3 Tl 0.011 0.011 0.983  -0.01
4 Tl 0.489 0.489 0.517  -0.01

No. 13
## SbSeNO2 (PBE-GGA)

Data for an optimized crystal structure of SbSeNO2.

Calculated values
**Space group**: P4/mmm
**E**: -24.17 eV for the cell shown
**Formation energy from raw total energies**: 0.335 eV/atom

Cell: 3.893 3.893 4.226 Å, 90.00 90.00 90.00°
Sites, in units of the cell vectors:
1 Sb 0.500 0.500 0.500
2 O 0.000 0.500 0.000
3 O 0.500 0.000 0.000
4 Se 0.000 0.000 0.000
5 N 0.000 0.000 0.500

No. 14
## Ni2AsOs (PBE-GGA)

Data for an optimized crystal structure of Ni2AsOs.

Calculated values
**Space group**: Pmmm
**DFT formation energy**: 183 meV/atom
**E**: -26.71 eV for the cell shown

Cell: 2.737 3.698 5.139 Å, 90.00 90.00 90.00°
Sites, in units of the cell vectors:
1 As 0.500 0.500 0.750
2 Ni 0.000 0.000 0.009
3 Ni 0.000 0.000 0.491
4 Os 0.500 0.500 0.250

Number 1: theoretical density 5.769 g/cm3. Number 2: theoretical density 2.038 g/cm3. Number 3: theoretical density 13.811 g/cm3. Number 4: theoretical density 6.918 g/cm3. Number 5: theoretical density 15.459 g/cm3. Number 6: theoretical density 3.771 g/cm3. Number 7: theoretical density 3.917 g/cm3. Number 8: theoretical density 11.684 g/cm3. Number 9: theoretical density 3.208 g/cm3. Number 10: theoretical density 10.292 g/cm3. Number 11: theoretical density 5.944 g/cm3. Number 12: theoretical density 10.027 g/cm3. Number 13: theoretical density 6.395 g/cm3. Number 14: theoretical density 12.209 g/cm3.